[1]
Material: CaHfBe2Hg
Method: DFT, PBE-GGA
State: optimized geometry

a b c (Å): 4.575 4.575 5.415
angles (deg): 90.00 90.00 90.00
Sites, in units of the cell vectors:
Ca1 0.000 0.000 0.000
Hf1 0.500 0.500 0.000
Be1 0.000 0.500 0.500
Be2 0.500 0.000 0.500
Hg1 0.500 0.500 0.500

Summary:
E in eV/atom: -3.14
Space group: P4/mmm, No. 123
Energy relative to the elements in meV per atom: 800

[2]
Material: Dy2ErSc2
Method: DFT, PBE-GGA
State: optimized geometry

a b c (Å): 3.367 8.350 8.350
angles (deg): 38.45 90.00 90.00
Sites, in units of the cell vectors:
Dy1 0.000 0.000 0.000
Dy2 0.500 0.199 0.199
Er1 0.000 0.626 0.626
Sc1 0.000 0.384 0.384
Sc2 0.500 0.814 0.814

Summary:
E in eV/atom: -5.13
Space group: Amm2, No. 38
Energy relative to the elements in meV per atom: 155
Distance to the lowest polymorph of the same formula in meV/atom: 107

[3]
Material: LiReSb2I
Method: DFT, PBE-GGA
State: optimized geometry

a b c (Å): 5.089 5.089 6.260
angles (deg): 90.00 90.00 90.00
Sites, in units of the cell vectors:
Li1 0.000 0.000 0.000
Re1 0.500 0.500 0.500
Sb1 0.000 0.500 0.500
Sb2 0.500 0.000 0.500
I1 0.500 0.500 0.000

Summary:
E in eV/atom: -4.43
Space group: P4/mmm, No. 123
Distance to the lowest polymorph of the same formula in meV/atom: 0

Look up the E of the first one. -3.14 eV/atom

E of number 3 (LiReSb2I)? -4.43 eV/atom

Copy entry 1 word for word.
Material: CaHfBe2Hg
Method: DFT, PBE-GGA
State: optimized geometry

a b c (Å): 4.575 4.575 5.415
angles (deg): 90.00 90.00 90.00
Sites, in units of the cell vectors:
Ca1 0.000 0.000 0.000
Hf1 0.500 0.500 0.000
Be1 0.000 0.500 0.500
Be2 0.500 0.000 0.500
Hg1 0.500 0.500 0.500

Summary:
E in eV/atom: -3.14
Space group: P4/mmm, No. 123
Energy relative to the elements in meV per atom: 800

Which of these has the highest E? CaHfBe2Hg